# 1
Density functional theory data (PBE) for an optimized crystal structure of LiCdPd5.

Cell: 5.3226 8.0660 6.2848 Å, 129.92 115.05 90.00°
Positions (direct):
Li  0.3610  0.0000  0.0000
Cd  0.6118  0.5000  0.0000
Pd  0.0328  0.2155  0.4309
Pd  0.1117  0.5000  0.0000
Pd  0.6018  0.7845  0.5691
Pd  0.9058  0.7838  0.0000
Pd  0.9058  0.2162  0.0000

Properties
Formation energy from the elements (eV per atom): 0.470
Fermi-level density of states (states/eV/atom): 1.534
E above lowest polymorph (eV/atom): 0.640
M_tot (μB/atom): 0.05

# 2
Density functional theory data (PBE) for an optimized crystal structure of ErPaFePd.

Cell: 4.8414 4.8414 4.8414 Å, 60.00 60.00 60.00°
Positions (direct):
Pa  0.0000  0.0000  0.0000
Fe  0.2500  0.2500  0.2500
Pd  0.7500  0.7500  0.7500
Er  0.5000  0.5000  0.5000

Properties
Formation energy from the elements (eV per atom): -0.214
Fermi-level density of states (states/eV/atom): 1.316
M_tot (μB/atom): 0.15

# 3
Density functional theory data (PBE) for an optimized crystal structure of CaAsP.

Cell: 4.3263 3.6386 16.6552 Å, 90.00 90.16 90.00°
Positions (direct):
Ca  0.7648  0.0000  0.8805
Ca  0.7648  0.5000  0.3805
Ca  0.7639  0.0000  0.1584
Ca  0.7639  0.5000  0.6584
As  0.2656  0.0000  0.7240
As  0.2656  0.5000  0.2240
As  0.2514  0.0000  0.0210
As  0.2514  0.5000  0.5210
P  0.8802  0.0000  0.5201
P  0.8802  0.5000  0.0201
P  0.2656  0.0000  0.3210
P  0.2656  0.5000  0.8210

Properties
Formation energy from the elements (eV per atom): -0.693
Fermi-level density of states (states/eV/atom): 0.234
E above lowest polymorph (eV/atom): 0.032
M_tot (μB/atom): 0.00

# 4
Density functional theory data (PBE) for an optimized crystal structure of Pm3PrHoSc.

Cell: 5.0919 7.9594 10.6947 Å, 116.07 90.00 90.00°
Positions (direct):
Pm  0.7500  0.8730  0.0446
Pm  0.2500  0.1270  0.9554
Pm  0.2500  0.6352  0.4577
Pm  0.7500  0.3648  0.5423
Pm  0.7500  0.3826  0.2097
Pm  0.2500  0.6174  0.7903
Pr  0.2500  0.1210  0.2967
Pr  0.7500  0.8790  0.7033
Ho  0.2500  0.6273  0.1270
Ho  0.7500  0.3727  0.8730
Sc  0.2500  0.1225  0.6228
Sc  0.7500  0.8775  0.3772

Properties
Formation energy from the elements (eV per atom): 0.044
Fermi-level density of states (states/eV/atom): 1.638
M_tot (μB/atom): 0.00